[1]
Computed, not measured: a relaxed structure of YMn9Fe3 at the PBE level of DFT.

a = 4.6868 Å, b = 11.7146 Å, c = 6.3195 Å
α = 90.00°, β = 111.42°, γ = 90.00°
Space group C2/m (No. 12)
One atom of each set of equivalent atoms:
Y (0.0000, 0.0000, 0.0000)
Mn (0.0000, 0.5000, 0.5000)
Mn (0.1124, 0.3865, 0.2278)
Mn (0.1806, 0.1809, 0.3606)
Fe (0.0000, 0.0000, 0.5000)
Fe (0.2500, 0.2500, 0.0000)

Total DFT energy (no corrections) ... -8.78 eV per atom
Volume ... 12.42 Å³ per atom
Calculated formation energy ... 19 kJ/mol of formula units

***

[2]
Computed, not measured: a relaxed structure of Y2MnFe at the PBE level of DFT.

a = 4.2324 Å, b = 4.2324 Å, c = 9.4419 Å
α = 90.00°, β = 90.00°, γ = 90.00°
Space group I-4m2 (No. 119)
One atom of each set of equivalent atoms:
Y (0.0000, 0.0000, 0.0000)
Y (0.0000, 0.5000, 0.2500)
Mn (0.0000, 0.0000, 0.5000)
Fe (0.0000, 0.5000, 0.7500)

Total DFT energy (no corrections) ... -7.28 eV per atom
Volume ... 21.14 Å³ per atom
E above lowest polymorph ... 0.339 eV per atom
Calculated formation energy ... 137 kJ/mol of formula units

***

[3]
Computed, not measured: a relaxed structure of YMn12Fe6 at the PBE level of DFT.

a = 10.2072 Å, b = 10.2072 Å, c = 7.7056 Å
α = 90.00°, β = 90.00°, γ = 120.00°
Space group R-3m (No. 166, hexagonal axes)
One atom of each set of equivalent atoms:
Y (0.0000, 0.0000, 0.0000)
Mn (0.0000, 0.3901, 0.5000)
Mn (0.0780, 0.1559, 0.3428)
Fe (0.0164, 0.5082, 0.2339)

Total DFT energy (no corrections) ... -8.48 eV per atom
Volume ... 12.20 Å³ per atom
Calculated formation energy ... 601 kJ/mol of formula units

***

[4]
Computed, not measured: a relaxed structure of YMnFe10 at the PBE level of DFT.

a = 3.9756 Å, b = 4.8432 Å, c = 8.3969 Å
α = 90.00°, β = 90.00°, γ = 90.00°
Space group Pmmm (No. 47)
One atom of each set of equivalent atoms:
Y (0.0000, 0.0000, 0.0000)
Mn (0.0000, 0.5000, 0.5000)
Fe (0.0000, 0.0000, 0.3431)
Fe (0.0000, 0.5000, 0.1800)
Fe (0.5000, 0.0000, 0.5000)
Fe (0.5000, 0.2531, 0.2582)
Fe (0.5000, 0.5000, 0.0000)

Total DFT energy (no corrections) ... -8.20 eV per atom
Volume ... 13.47 Å³ per atom
Calculated formation energy ... 174 kJ/mol of formula units

***

[5]
Computed, not measured: a relaxed structure of YMn3Fe8 at the PBE level of DFT.

a = 4.7971 Å, b = 4.7971 Å, c = 7.8287 Å
α = 90.00°, β = 90.00°, γ = 120.00°
Space group P3m1 (No. 156)
One atom of each set of equivalent atoms:
Y (0.0000, 0.0000, 0.0000)
Mn (0.0000, 0.0000, 0.3874)
Mn (0.6667, 0.3333, 0.4975)
Mn (0.6667, 0.3333, 0.8593)
Fe (0.1645, 0.3289, 0.6764)
Fe (0.3333, 0.6667, 0.4354)
Fe (0.3333, 0.6667, 0.9333)
Fe (0.5038, 0.0077, 0.1999)

Total DFT energy (no corrections) ... -8.34 eV per atom
Volume ... 13.00 Å³ per atom
Calculated formation energy ... 152 kJ/mol of formula units

***

[6]
Computed, not measured: a relaxed structure of YMn2Fe2 at the PBE level of DFT.

a = 7.1822 Å, b = 7.1822 Å, c = 2.5927 Å
α = 90.00°, β = 90.00°, γ = 90.00°
Space group P4/mbm (No. 127)
One atom of each set of equivalent atoms:
Y (0.0000, 0.0000, 0.0000)
Mn (0.1143, 0.3857, 0.0000)
Fe (0.1660, 0.6660, 0.5000)

Total DFT energy (no corrections) ... -7.99 eV per atom
Volume ... 13.37 Å³ per atom
E above lowest polymorph ... 0.272 eV per atom
Calculated formation energy ... 170 kJ/mol of formula units

***

[7]
Computed, not measured: a relaxed structure of Y2MnFe at the PBE level of DFT.

a = 7.5529 Å, b = 7.5529 Å, c = 6.0916 Å
α = 90.00°, β = 90.00°, γ = 90.00°
Space group I-42d (No. 122)
One atom of each set of equivalent atoms:
Y (0.2256, 0.7500, 0.1250)
Mn (0.0000, 0.0000, 0.5000)
Fe (0.0000, 0.0000, 0.0000)

Total DFT energy (no corrections) ... -7.07 eV per atom
Volume ... 21.72 Å³ per atom
E above lowest polymorph ... 0.554 eV per atom
Calculated formation energy ... 221 kJ/mol of formula units

***

[8]
Computed, not measured: a relaxed structure of Mn2ZnFe at the PBE level of DFT.

a = 2.7884 Å, b = 4.1612 Å, c = 4.1842 Å
α = 90.00°, β = 90.00°, γ = 90.00°
Space group Pmmm (No. 47)
One atom of each set of equivalent atoms:
Mn (0.0000, 0.0000, 0.0000)
Mn (0.5000, 0.5000, 0.0000)
Zn (0.0000, 0.5000, 0.5000)
Fe (0.5000, 0.0000, 0.5000)

Total DFT energy (no corrections) ... -6.81 eV per atom
Volume ... 12.14 Å³ per atom
Calculated formation energy ... 79 kJ/mol of formula units

***

[9]
Computed, not measured: a relaxed structure of Mn2ZnFe at the PBE level of DFT.

a = 2.8822 Å, b = 3.9745 Å, c = 8.1849 Å
α = 90.00°, β = 90.00°, γ = 90.00°
Space group Cmmm (No. 65)
One atom of each set of equivalent atoms:
Mn (0.0000, 0.0000, 0.2390)
Zn (0.0000, 0.5000, 0.5000)
Fe (0.0000, 0.5000, 0.0000)

Total DFT energy (no corrections) ... -6.83 eV per atom
Volume ... 11.72 Å³ per atom
Calculated formation energy ... 72 kJ/mol of formula units

***

[10]
Computed, not measured: a relaxed structure of Mn2ZnFe at the PBE level of DFT.

a = 2.4655 Å, b = 4.1718 Å, c = 4.6717 Å
α = 90.00°, β = 97.17°, γ = 90.00°
Space group P2/m (No. 10)
One atom of each set of equivalent atoms:
Mn (0.2302, 0.0000, 0.2635)
Zn (0.5000, 0.5000, 0.0000)
Fe (0.0000, 0.5000, 0.5000)

Total DFT energy (no corrections) ... -6.83 eV per atom
Volume ... 11.92 Å³ per atom
Calculated formation energy ... 71 kJ/mol of formula units

***

[11]
Computed, not measured: a relaxed structure of MnZnFe at the PBE level of DFT.

a = 2.9286 Å, b = 4.0198 Å, c = 12.3114 Å
α = 90.00°, β = 90.00°, γ = 90.00°
Space group Fmm2 (No. 42)
One atom of each set of equivalent atoms:
Mn (0.0000, 0.0000, 0.0000)
Zn (0.0000, 0.0000, 0.3279)
Fe (0.0000, 0.0000, 0.6566)

Total DFT energy (no corrections) ... -6.16 eV per atom
Volume ... 12.08 Å³ per atom
E above lowest polymorph ... 0.074 eV per atom
Calculated formation energy ... 41 kJ/mol of formula units

***

[12]
Computed, not measured: a relaxed structure of MnZn6Fe2 at the PBE level of DFT.

a = 9.1294 Å, b = 4.2338 Å, c = 7.8230 Å
α = 90.00°, β = 125.45°, γ = 90.00°
Space group C2/m (No. 12)
One atom of each set of equivalent atoms:
Mn (0.0000, 0.0000, 0.0000)
Zn (0.0585, 0.5000, 0.2133)
Zn (0.1059, 0.0000, 0.4381)
Zn (0.1676, 0.5000, 0.6850)
Fe (0.2220, 0.0000, 0.9039)

Total DFT energy (no corrections) ... -3.70 eV per atom
Volume ... 13.68 Å³ per atom
Calculated formation energy ... 40 kJ/mol of formula units